## Ac2CdCo (PBE-GGA)

Data for crystalline Ac2CdCo at its relaxed geometry.

Space group: Cmcm (63)
Total energy: -4.169 eV per atom

a b c (Å): 7.9507 7.9507 7.6630
angles (deg): 90.00 90.00 150.02
With the nearest neighbours (Å) after each atom.
Fractional coordinates of all 8 atoms:
Ac  0.1442  0.8558  0.5007  3 Co 2.89-3.19
Ac  0.1442  0.8558  0.9993  3 Co 2.89-3.19
Ac  0.8558  0.1442  0.0007  3 Co 2.89-3.19
Ac  0.8558  0.1442  0.4993  3 Co 2.89-3.19
Cd  0.4914  0.5086  0.2500  1 Co 2.79
Cd  0.5086  0.4914  0.7500  1 Co 2.79
Co  0.3100  0.6900  0.2500  1 Cd 2.79, 4 Ac 2.89
Co  0.6900  0.3100  0.7500  1 Cd 2.79, 4 Ac 2.89

## RbBaSe2O8 (PBE-GGA)

Data for crystalline RbBaSe2O8 at its relaxed geometry.

Space group: C2/m (12)
E_form (uncorrected): -1.239 eV/atom

a b c (Å): 5.8933 5.8933 8.2266
angles (deg): 110.36 110.36 59.53
With the nearest neighbours (Å) after each atom.
Fractional coordinates of all 12 atoms:
Rb  0.0000  0.0000  0.0000  14 O 3.34-3.67
Ba  0.5000  0.5000  0.5000  6 O 2.80
Se  0.2346  0.2346  0.7103  4 O 1.67-1.68
Se  0.7654  0.7654  0.2897  4 O 1.67-1.68
O  0.0532  0.5848  0.2165  1 Se 1.68
O  0.1608  0.1608  0.4868  1 Se 1.68
O  0.4125  0.4125  0.7813  1 Se 1.67
O  0.4152  0.9468  0.7835  1 Se 1.68
O  0.5848  0.0532  0.2165  1 Se 1.68
O  0.5875  0.5875  0.2187  1 Se 1.67
O  0.8392  0.8392  0.5132  1 Se 1.68
O  0.9468  0.4152  0.7835  1 Se 1.68

## Rb3GeOs (PBE-GGA)

Data for crystalline Rb3GeOs at its relaxed geometry.

Space group: Pm-3m (221)
Total energy: -2.368 eV per atom

a b c (Å): 6.4319 6.4319 6.4319
angles (deg): 90.00 90.00 90.00
With the nearest neighbours (Å) after each atom.
Fractional coordinates of all 5 atoms:
Rb  0.0000  0.0000  0.5000  2 Os 3.22
Rb  0.0000  0.5000  0.0000  2 Os 3.22
Rb  0.5000  0.0000  0.0000  2 Os 3.22
Ge  0.5000  0.5000  0.5000  12 Rb 4.55
Os  0.0000  0.0000  0.0000  6 Rb 3.22

Respective magnetization values: 0.0, 1.2, 5.0 μB/cell.